# PBE NbBRu2Rh, optimized geometry
# formation enthalpy at 0 K = -26 kJ per mole of atoms
data_NbBRu2Rh
_cell_length_a 4.1090
_cell_length_b 4.1090
_cell_length_c 4.0498
_cell_angle_alpha 90.00
_cell_angle_beta 90.00
_cell_angle_gamma 90.00
_symmetry_space_group_name_H-M 'P 4/m m m'
_symmetry_Int_Tables_number 123
_symmetry_space_group_name_Hall '-P 4 2'
loop_
_atom_site_label
_atom_site_type_symbol
_atom_site_fract_x
_atom_site_fract_y
_atom_site_fract_z
Nb1 Nb 0.0000 0.0000 0.0000
B1 B 0.5000 0.5000 0.5000
Ru1 Ru 0.0000 0.5000 0.5000
Rh1 Rh 0.5000 0.5000 0.0000



# PBE HgHPd2, optimized geometry
# raw total energy = -49.66 eV/cell
data_HgHPd2
_cell_length_a 6.2507
_cell_length_b 6.2507
_cell_length_c 6.2507
_cell_angle_alpha 90.00
_cell_angle_beta 90.00
_cell_angle_gamma 90.00
_symmetry_space_group_name_H-M 'F m -3 m'
_symmetry_Int_Tables_number 225
_symmetry_space_group_name_Hall '-F 4 2 3'
loop_
_atom_site_label
_atom_site_type_symbol
_atom_site_fract_x
_atom_site_fract_y
_atom_site_fract_z
Hg1 Hg 0.0000 0.0000 0.0000
H1 H 0.0000 0.0000 0.5000
Pd1 Pd 0.2500 0.2500 0.2500



# PBE Th4As2OsS, optimized geometry
# formation energy without anion corrections = -1.215 eV/atom
data_Th4As2OsS
_cell_length_a 7.2693
_cell_length_b 4.1458
_cell_length_c 7.3704
_cell_angle_alpha 90.00
_cell_angle_beta 109.43
_cell_angle_gamma 90.00
_symmetry_space_group_name_H-M 'P 1 2/m 1'
_symmetry_Int_Tables_number 10
loop_
_symmetry_equiv_pos_as_xyz
'x,y,z'
'-x,-y,-z'
'-x,y,-z'
'x,-y,z'
loop_
_atom_site_label
_atom_site_type_symbol
_atom_site_fract_x
_atom_site_fract_y
_atom_site_fract_z
Th1 Th 0.2329 0.0000 0.2309
Th2 Th 0.2491 0.5000 0.7601
As1 As 0.0000 0.0000 0.5000
As2 As 0.5000 0.5000 0.5000
Os1 Os 0.0000 0.5000 0.0000
S1 S 0.5000 0.0000 0.0000



# PBE Mg2MnAs, optimized geometry
# formation enthalpy at 0 K = -9 kJ per mole of atoms
data_Mg2MnAs
_cell_length_a 3.7318
_cell_length_b 3.9344
_cell_length_c 10.5629
_cell_angle_alpha 90.00
_cell_angle_beta 90.00
_cell_angle_gamma 90.00
_symmetry_space_group_name_H-M 'A m m 2'
_symmetry_Int_Tables_number 38
loop_
_symmetry_equiv_pos_as_xyz
'x,y,z'
'-x,-y,z'
'-x,y,z'
'x,-y,z'
'x,y+1/2,z+1/2'
'-x,-y+1/2,z+1/2'
'-x,y+1/2,z+1/2'
'x,-y+1/2,z+1/2'
loop_
_atom_site_label
_atom_site_type_symbol
_atom_site_fract_x
_atom_site_fract_y
_atom_site_fract_z
Mg1 Mg 0.0000 0.0000 0.0000
Mg2 Mg 0.5000 0.0000 0.3126
Mn1 Mn 0.0000 0.0000 0.7228
As1 As 0.5000 0.0000 0.5793



# PBE YMn3I, optimized geometry
# formation energy without anion corrections = 0.973 eV/atom
data_YMn3I
_cell_length_a 4.8207
_cell_length_b 4.8207
_cell_length_c 4.8207
_cell_angle_alpha 90.00
_cell_angle_beta 90.00
_cell_angle_gamma 90.00
_symmetry_space_group_name_H-M 'P m -3 m'
_symmetry_Int_Tables_number 221
_symmetry_space_group_name_Hall '-P 4 2 3'
loop_
_atom_site_label
_atom_site_type_symbol
_atom_site_fract_x
_atom_site_fract_y
_atom_site_fract_z
Y1 Y 0.0000 0.0000 0.0000
Mn1 Mn 0.0000 0.5000 0.5000
I1 I 0.5000 0.5000 0.5000



# PBE InPbF2, optimized geometry
# formation energy without anion corrections = -1.346 eV/atom
data_InPbF2
_cell_length_a 5.9245
_cell_length_b 5.9245
_cell_length_c 12.3045
_cell_angle_alpha 90.00
_cell_angle_beta 90.00
_cell_angle_gamma 90.00
_symmetry_space_group_name_H-M 'I -4 2 d'
_symmetry_Int_Tables_number 122
_symmetry_space_group_name_Hall 'I -4 2bw'
loop_
_atom_site_label
_atom_site_type_symbol
_atom_site_fract_x
_atom_site_fract_y
_atom_site_fract_z
In1 In 0.0000 0.0000 0.0000
Pb1 Pb 0.0000 0.0000 0.5000
F1 F 0.1998 0.2500 0.6250



# PBE HfPt3Au, optimized geometry
# formation enthalpy at 0 K = 75 kJ per mole of atoms
data_HfPt3Au
_cell_length_a 4.9020
_cell_length_b 4.9020
_cell_length_c 4.9020
_cell_angle_alpha 90.00
_cell_angle_beta 90.00
_cell_angle_gamma 90.00
_symmetry_space_group_name_H-M 'P m -3 m'
_symmetry_Int_Tables_number 221
_symmetry_space_group_name_Hall '-P 4 2 3'
loop_
_atom_site_label
_atom_site_type_symbol
_atom_site_fract_x
_atom_site_fract_y
_atom_site_fract_z
Hf1 Hf 0.0000 0.0000 0.0000
Pt1 Pt 0.0000 0.0000 0.5000
Au1 Au 0.5000 0.5000 0.5000



# PBE ZrHgSb2, optimized geometry
# formation energy without anion corrections = -0.295 eV/atom
data_ZrHgSb2
_cell_length_a 3.8547
_cell_length_b 3.8997
_cell_length_c 6.4651
_cell_angle_alpha 90.00
_cell_angle_beta 90.00
_cell_angle_gamma 90.00
_symmetry_space_group_name_H-M 'P m m m'
_symmetry_Int_Tables_number 47
loop_
_symmetry_equiv_pos_as_xyz
'x,y,z'
'-x,-y,-z'
'-x,-y,z'
'x,y,-z'
'x,-y,-z'
'-x,y,z'
'-x,y,-z'
'x,-y,z'
loop_
_atom_site_label
_atom_site_type_symbol
_atom_site_fract_x
_atom_site_fract_y
_atom_site_fract_z
Zr1 Zr 0.0000 0.0000 0.0000
Hg1 Hg 0.0000 0.0000 0.5000
Sb1 Sb 0.5000 0.5000 0.2296